{"formula": "CeSb2Pb", "functional": "PBE", "state": "relaxed", "total_energy_ev_per_cell": -20.0, "cell": [[5.0779, 0.0000, 0.0000], [0.0000, 5.0779, 0.0000], [0.0000, 0.0000, 4.3343]], "species": ["Ce", "Sb", "Sb", "Pb"], "frac_coords": [[0.0000, 0.0000, 0.0000], [0.0000, 0.5000, 0.5000], [0.5000, 0.0000, 0.5000], [0.5000, 0.5000, 0.0000]]}